The following is a DFT calculation (PBE+U) of an optimized crystal structure of CaCrPO2.

Properties
- magnetization (μB/atom) = 0.1987
- excess energy over the best structure of this formula in the dataset (eV/atom) = 0.967

```
data_CaCrPO2
_space_group_name_H-M_alt 'P 4/m m m'
_space_group_IT_number 123
_space_group_name_Hall '-P 4 2'
_cell_length_a 4.237
_cell_length_b 4.237
_cell_length_c 5.784
_cell_angle_alpha 90.00
_cell_angle_beta 90.00
_cell_angle_gamma 90.00
loop_
_atom_site_label
_atom_site_fract_x
_atom_site_fract_y
_atom_site_fract_z
Ca1 0.000 0.000 0.000
Cr1 0.500 0.500 0.500
P1 0.000 0.000 0.500
O1 0.000 0.500 0.000
```